This record from the Alexandria database describes an optimized crystal structure of Li4SbAu. The functional is PBE.

Summary:
E above lowest polymorph   0.202 eV per atom
V   400 Å³ per cell
M_tot   1.21 μB/cell

Cell: 7.3690 7.3690 7.3690 Å, 90.00 90.00 90.00°
Last column: nearest neighbours and their distance in Å.
Space group F-43m (No. 216)
Asymmetric unit:
Li  0.1249  0.1249  0.1249  6 Li 2.60-2.61
Sb  0.2500  0.2500  0.7500  12 Li 3.05, 4 Au 3.19
Au  0.0000  0.0000  0.5000  12 Li 3.06, 4 Sb 3.19